Entry 1:
Below is a PBEsol-optimized structure of ZrCdPb2, with properties calculated at the meta-GGA SCAN level.

Cell: 5.068 3.331 11.588 Å, 90.00 90.00 90.00°
Space group Amm2 (No. 38)
Inequivalent atoms, fractional coordinates:
Zr 0.000 0.000 0.000 (multiplicity 2)
Cd 0.500 0.000 0.841 (multiplicity 2)
Pb 0.000 0.000 0.267 (multiplicity 2)
Pb 0.500 0.000 0.569 (multiplicity 2)

- DFT formation energy (meV per atom) = -107
- total magnetic moment (μB/atom) = 0.000

Entry 2:
Below is a PBEsol-optimized structure of TcMo2P, with properties calculated at the meta-GGA SCAN level.

Cell: 2.953 4.304 8.706 Å, 90.00 90.00 90.00°
Space group Imm2 (No. 44)
Inequivalent atoms, fractional coordinates:
Tc 0.000 0.000 0.000 (multiplicity 2)
Mo 0.000 0.000 0.553 (multiplicity 2)
Mo 0.000 0.500 0.772 (multiplicity 2)
P 0.000 0.500 0.282 (multiplicity 2)

- DFT formation energy (meV per atom) = -130
- total magnetic moment (μB/atom) = 0.000

Entry 3:
Below is a PBEsol-optimized structure of Li2TcOs, with properties calculated at the meta-GGA SCAN level.

Cell: 2.641 3.951 5.476 Å, 90.00 90.00 90.00°
Space group Pmm2 (No. 25)
Inequivalent atoms, fractional coordinates:
Li 0.000 0.000 0.000 (multiplicity 1)
Li 0.500 0.500 0.218 (multiplicity 1)
Tc 0.500 0.500 0.690 (multiplicity 1)
Os 0.000 0.000 0.518 (multiplicity 1)

- DFT formation energy (meV per atom) = 127
- total magnetic moment (μB/atom) = 0.000

Entry 4:
Below is a PBEsol-optimized structure of Mg16Al13, with properties calculated at the meta-GGA SCAN level.

Cell: 10.429 14.687 8.997 Å, 90.00 124.61 90.00°
Space group Cm (No. 8)
Inequivalent atoms, fractional coordinates:
Mg 0.000 0.000 0.000 (multiplicity 2)
Mg 0.003 0.000 0.350 (multiplicity 2)
Mg 0.058 0.343 0.400 (multiplicity 4)
Mg 0.149 0.500 0.661 (multiplicity 2)
Mg 0.159 0.159 0.601 (multiplicity 4)
Mg 0.175 0.174 0.998 (multiplicity 4)
Mg 0.187 0.500 0.290 (multiplicity 2)
Mg 0.301 0.299 0.319 (multiplicity 4)
Mg 0.460 0.138 0.998 (multiplicity 4)
Mg 0.487 0.195 0.687 (multiplicity 4)
Al 0.005 0.185 0.188 (multiplicity 4)
Al 0.188 0.000 0.815 (multiplicity 2)
Al 0.228 0.409 0.006 (multiplicity 4)
Al 0.275 0.093 0.368 (multiplicity 4)
Al 0.319 0.315 0.817 (multiplicity 4)
Al 0.367 0.000 0.179 (multiplicity 2)
Al 0.383 0.000 0.699 (multiplicity 2)
Al 0.409 0.407 0.635 (multiplicity 4)

- DFT formation energy (meV per atom) = -17
- total magnetic moment (μB/atom) = 0.000
- energy above the most stable polymorph in this dataset (meV/atom) = 0.0

Entry 5:
Below is a PBEsol-optimized structure of Nb2Co2Rh, with properties calculated at the meta-GGA SCAN level.

Cell: 6.748 6.748 3.012 Å, 90.00 90.00 90.00°
Space group P4/mbm (No. 127)
Inequivalent atoms, fractional coordinates:
Nb 0.175 0.325 0.000 (multiplicity 4)
Co 0.127 0.627 0.500 (multiplicity 4)
Rh 0.000 0.000 0.500 (multiplicity 2)

- DFT formation energy (meV per atom) = -187
- total magnetic moment (μB/atom) = 0.000

Entry 6:
Below is a PBEsol-optimized structure of KPH3, with properties calculated at the meta-GGA SCAN level.

Cell: 3.756 3.756 3.756 Å, 90.00 90.00 90.00°
Space group Pm-3m (No. 221)
Inequivalent atoms, fractional coordinates:
K 0.000 0.000 0.000 (multiplicity 1)
P 0.500 0.500 0.500 (multiplicity 1)
H 0.000 0.500 0.500 (multiplicity 3)

- total magnetic moment (μB/atom) = 0.000
- calculated total energy (eV/atom) = -5.717

Entry 7:
Below is a PBEsol-optimized structure of LaTiSi3, with properties calculated at the meta-GGA SCAN level.

Cell: 5.212 5.212 5.212 Å, 90.00 90.00 90.00°
Space group Pm-3m (No. 221)
Inequivalent atoms, fractional coordinates:
La 0.000 0.000 0.000 (multiplicity 1)
Ti 0.500 0.500 0.500 (multiplicity 1)
Si 0.000 0.000 0.500 (multiplicity 3)

- total magnetic moment (μB/atom) = 0.380
- calculated total energy (eV/atom) = -16.282

Entry 8:
Below is a PBEsol-optimized structure of LiMg3, with properties calculated at the meta-GGA SCAN level.

Cell: 3.140 4.396 6.176 Å, 90.00 90.00 90.00°
Space group Pmmm (No. 47)
Inequivalent atoms, fractional coordinates:
Li 0.000 0.000 0.000 (multiplicity 1)
Mg 0.000 0.000 0.500 (multiplicity 1)
Mg 0.500 0.500 0.245 (multiplicity 2)

- DFT formation energy (meV per atom) = -14
- total magnetic moment (μB/atom) = 0.033

Entry 9:
Below is a PBEsol-optimized structure of Al5Ni, with properties calculated at the meta-GGA SCAN level.

Cell: 5.0156 5.0156 4.6472 Å, 90.00 90.00 120.00°
Space group P6/mmm (No. 191)
Inequivalent atoms, fractional coordinates:
Al 0.0000 0.5000 0.0000 (multiplicity 3)
Al 0.3333 0.6667 0.5000 (multiplicity 2)
Ni 0.0000 0.0000 0.5000 (multiplicity 1)

- DFT formation energy (meV per atom) = 419
- total magnetic moment (μB/atom) = 0.000

Entry 10:
Below is a PBEsol-optimized structure of Ag3Pt5, with properties calculated at the meta-GGA SCAN level.

Cell: 4.828 4.832 5.609 Å, 106.64 90.14 99.68°
Space group P1 (No. 1)
Inequivalent atoms, fractional coordinates:
Ag 0.000 0.000 0.000 (multiplicity 1)
Ag 0.246 0.499 0.367 (multiplicity 1)
Ag 0.751 0.499 0.122 (multiplicity 1)
Pt 0.258 0.507 0.864 (multiplicity 1)
Pt 0.495 0.997 0.252 (multiplicity 1)
Pt 0.500 0.999 0.744 (multiplicity 1)
Pt 0.748 0.494 0.622 (multiplicity 1)
Pt 0.993 0.006 0.506 (multiplicity 1)

- DFT formation energy (meV per atom) = 45
- total magnetic moment (μB/atom) = 0.001
- energy above the most stable polymorph in this dataset (meV/atom) = 46.6

Entry 11:
Below is a PBEsol-optimized structure of Mn3O5F, with properties calculated at the meta-GGA SCAN level.

Cell: 8.664 6.202 7.058 Å, 90.00 113.46 90.00°
Space group Cm (No. 8)
Inequivalent atoms, fractional coordinates:
Mn 0.000 0.000 0.000 (multiplicity 2)
Mn 0.002 0.000 0.518 (multiplicity 2)
Mn 0.151 0.500 0.190 (multiplicity 2)
Mn 0.170 0.500 0.663 (multiplicity 2)
Mn 0.323 0.000 0.841 (multiplicity 2)
Mn 0.327 0.000 0.345 (multiplicity 2)
O 0.099 0.000 0.804 (multiplicity 2)
O 0.161 0.197 0.174 (multiplicity 4)
O 0.229 0.000 0.547 (multiplicity 2)
O 0.269 0.500 0.474 (multiplicity 2)
O 0.330 0.305 0.841 (multiplicity 4)
O 0.425 0.000 0.135 (multiplicity 2)
O 0.499 0.195 0.507 (multiplicity 4)
F 0.064 0.500 0.874 (multiplicity 2)
F 0.392 0.500 0.209 (multiplicity 2)

- total magnetic moment (μB/atom) = 1.111
- energy above the most stable polymorph in this dataset (meV/atom) = 9.6

Entry 12:
Below is a PBEsol-optimized structure of Hg2PO3F, with properties calculated at the meta-GGA SCAN level.

Cell: 9.373 12.293 8.666 Å, 90.00 90.00 90.00°
Space group Ibam (No. 72)
Inequivalent atoms, fractional coordinates:
Hg 0.203 0.102 0.221 (multiplicity 16)
P 0.048 0.258 0.500 (multiplicity 8)
O 0.061 0.167 0.000 (multiplicity 8)
O 0.137 0.262 0.352 (multiplicity 16)
F 0.037 0.370 0.000 (multiplicity 8)

- total magnetic moment (μB/atom) = 0.000
- calculated total energy (eV/atom) = -25.805